Density functional theory data (GGA-PBE) for a geometry-optimized BeB3F structure.

Lattice parameters (Å, degrees): 3.6316 3.6316 3.6316 90.00 90.00 90.00
With the nearest neighbours (Å) after each atom.
Space group Pm-3m (No. 221)
Inequivalent atoms, fractional coordinates:
Be1 0.0000 0.0000 0.0000 (multiplicity 1)  6 B 1.82
B1 0.0000 0.0000 0.5000 (multiplicity 3)  2 Be 1.82
F1 0.5000 0.5000 0.5000 (multiplicity 1)  12 B 2.57

- Formation energy from raw total energies: 1.311 eV per atom
- Energy above the lowest structure with this stoichiometry: 0 meV/atom
- Magnetization: 0.00 μB/f.u.